A plane-wave DFT calculation with SCAN was carried out for BaTlIr2 at its PBEsol-relaxed geometry.

Values from the calculation:
* total moment: 0.99 μB/cell
* crystal system: cubic
* SG: No. 216
* DFT total energy: -62.65 eV/atom
* Fermi-level density of states: 3.407 states/eV/cell
* calculated formation energy: 0.875 eV per atom

Structure (CIF):
```
data_BaTlIr2
_symmetry_space_group_name_H-M 'P 1'
_symmetry_Int_Tables_number 1
_symmetry_space_group_name_Hall 'P 1'
_cell_length_a 4.958
_cell_length_b 4.958
_cell_length_c 4.958
_cell_angle_alpha 60.00
_cell_angle_beta 60.00
_cell_angle_gamma 60.00
loop_
_atom_site_label
_atom_site_type_symbol
_atom_site_fract_x
_atom_site_fract_y
_atom_site_fract_z
_atom_site_occupancy
Ir1 Ir 0.750 0.750 0.750 1
Ir2 Ir 0.000 0.000 0.000 1
Ba1 Ba 0.500 0.500 0.500 1
Tl1 Tl 0.250 0.250 0.250 1
```